Here is BeRe2AgF after structural relaxation from Alexandria. Energies are from PBEsol.

Unit cell a=4.895 b=4.895 c=2.816 alpha=90.00 beta=90.00 gamma=90.00
Space group P4/mmm (No. 123)
Inequivalent atoms, fractional coordinates:
Be: 0.000 0.000 0.000
Re: 0.000 0.500 0.000
Ag: 0.500 0.500 0.500
F: 0.000 0.000 0.500

## Properties
**Volume**: 13.496 Å³ per atom
**Raw total energy**: -31.46 eV for the cell shown
**ΔE_f (raw)**: 0.889 eV/atom